{"formula": "PaTi2Pd", "functional": "PBE-GGA", "state": "optimized geometry", "e_form_mev_per_atom": -55, "polymorph_energy_mev_per_atom": 123, "cell": [[4.6466, 0.0000, 0.0000], [2.3233, 4.0241, 0.0000], [2.3233, 1.3414, 3.7939]], "species": ["Pa", "Pd", "Ti", "Ti"], "frac_coords": [[0.0000, 0.0000, 0.0000], [0.5000, 0.5000, 0.5000], [0.2500, 0.2500, 0.2500], [0.7500, 0.7500, 0.7500]]}